A plane-wave DFT calculation with PBE-GGA was carried out for crystalline ScZn2Ru at its relaxed geometry.

```
ScZn2Ru
1.0
-2.852 -1.131 1.424
0.226 -2.848 -1.810
2.945 -2.336 4.043
Sc Zn Ru
1 2 1
direct
0.500 0.500 0.750
0.000 0.000 0.477
0.000 0.000 0.023
0.500 0.500 0.250
```

Computed properties:
- Uncorrected energy: -4.794 eV/atom
- Formation energy from the elements: -0.255 eV/atom
- Total magnetization: 0.00 Bohr magnetons per cell